(1)
The following is a DFT calculation (meta-GGA SCAN) of a crystal of LiMgPb2 relaxed with PBEsol.

POSCAR file:
```
LiMgPb2
1.0
3.445 0.000 0.000
1.723 2.984 0.000
1.723 0.995 9.315
Pb Mg Li
2 1 1
Direct
0.247 0.247 0.258 Pb
0.753 0.753 0.742 Pb
0.000 0.000 0.000 Mg
0.500 0.500 0.500 Li
```

Output
calculated total energy = -159.865 eV per cell
SG = No. 166
Fermi-level density of states = 1.7 states/eV/cell
V = 95.75 Å³ per cell

---

(2)
The following is a DFT calculation (meta-GGA SCAN) of a crystal of ZnPtAu2 relaxed with PBEsol.

POSCAR file:
```
ZnPtAu2
1.0
2.857 0.000 0.000
0.000 3.799 0.000
0.000 0.000 5.748
Au Zn Pt
2 1 1
Direct
0.000 0.000 0.993 Au
0.500 0.500 0.254 Au
0.500 0.500 0.734 Zn
0.000 0.000 0.519 Pt
```

Output
calculated total energy = -222.886 eV per cell
SG = No. 25
Fermi-level density of states = 0.9 states/eV/cell
V = 62.39 Å³ per cell

---

(3)
The following is a DFT calculation (meta-GGA SCAN) of a crystal of BaZnW relaxed with PBEsol.

POSCAR file:
```
BaZnW
1.0
3.025 0.000 0.000
0.000 3.835 0.000
-1.513 -1.917 5.929
W Ba Zn
1 1 1
Direct
0.711 0.711 0.421 W
0.001 0.001 0.002 Ba
0.289 0.289 0.577 Zn
```

Output
calculated total energy = -119.922 eV per cell
SG = No. 44
Fermi-level density of states = 2.8 states/eV/cell
energy above the lowest structure with this stoichiometry = 0.00 eV/f.u.
V = 68.78 Å³ per cell